(1)
TbNdHg4 after structural relaxation. Source: Alexandria, functional GGA-PBE.

a b c (Å): 3.9338 5.7275 8.0565
angles (deg): 102.35 75.87 69.92
Closest atoms and distances in Å follow each position.
Atoms (fractional coordinates):
Tb1 0.0000 0.0000 0.0000  10 Hg 3.22-3.33
Nd1 0.5000 0.5000 0.5000  10 Hg 3.29-3.34
Hg1 0.8268 0.5045 0.8418  5 Hg 3.17-3.38, 3 Tb 3.22-3.33, 2 Nd 3.31
Hg2 0.3420 0.9903 0.3257  5 Hg 3.22-3.38, 2 Tb 3.23, 3 Nd 3.29-3.34
Hg3 0.1732 0.4955 0.1582  5 Hg 3.17-3.38, 3 Tb 3.22-3.33, 2 Nd 3.31
Hg4 0.6580 0.0097 0.6743  5 Hg 3.22-3.38, 2 Tb 3.23, 3 Nd 3.29-3.34

Properties
**Energy of formation from the pure elements**: -0.3547 eV per atom
**E above lowest polymorph**: 0 meV per atom
**D(E_F)**: 4.21 states/eV/f.u.
**Symmetry**: C2/m
**Volume**: 26.0 A^3/atom



(2)
Tb2Nd4Hg after structural relaxation. Source: Alexandria, functional GGA-PBE.

a b c (Å): 3.5983 8.6334 8.5498
angles (deg): 116.84 102.15 90.00
Closest atoms and distances in Å follow each position.
Atoms (fractional coordinates):
Tb1 0.7846 0.8625 0.5693  1 Hg 3.23, 5 Nd 3.36-3.57, 4 Tb 3.57-3.60
Tb2 0.2154 0.1375 0.4307  1 Hg 3.23, 5 Nd 3.36-3.57, 4 Tb 3.57-3.60
Nd1 0.9163 0.2974 0.8325  5 Nd 3.32-3.64, 3 Tb 3.36-3.48, 1 Hg 3.45
Nd2 0.0837 0.7026 0.1675  5 Nd 3.32-3.64, 3 Tb 3.36-3.48, 1 Hg 3.45
Nd3 0.6286 0.3838 0.2571  2 Hg 3.50, 3 Tb 3.57-3.73, 6 Nd 3.60-3.73
Nd4 0.3714 0.6162 0.7429  2 Hg 3.50, 3 Tb 3.57-3.73, 6 Nd 3.60-3.73
Hg1 0.0000 0.0000 0.0000  2 Tb 3.23, 6 Nd 3.45-3.50, 2 Hg 3.60

Properties
**Energy of formation from the pure elements**: -0.0136 eV per atom
**D(E_F)**: 8.91 states/eV/f.u.
**Symmetry**: C2/m
**Volume**: 32.9 A^3/atom



(3)
Tb5Nd4Hg after structural relaxation. Source: Alexandria, functional GGA-PBE.

a b c (Å): 3.6363 3.6363 24.2824
angles (deg): 90.00 90.00 90.00
Closest atoms and distances in Å follow each position.
Atoms (fractional coordinates):
Tb1 0.5000 0.5000 0.0811  4 Hg 3.24, 4 Nd 3.61
Tb2 0.5000 0.5000 0.2902  8 Nd 3.61-3.62, 4 Tb 3.64
Tb3 0.5000 0.5000 0.5000  8 Nd 3.61, 4 Tb 3.64
Tb4 0.5000 0.5000 0.7098  8 Nd 3.61-3.62, 4 Tb 3.64
Tb5 0.5000 0.5000 0.9189  4 Hg 3.24, 4 Nd 3.61
Nd1 0.0000 0.0000 0.1856  8 Tb 3.61, 4 Nd 3.64
Nd2 0.0000 0.0000 0.3954  8 Tb 3.61-3.62, 4 Nd 3.64
Nd3 0.0000 0.0000 0.6046  8 Tb 3.61-3.62, 4 Nd 3.64
Nd4 0.0000 0.0000 0.8144  8 Tb 3.61, 4 Nd 3.64
Hg1 0.0000 0.0000 0.0000  8 Tb 3.24

Properties
**Energy of formation from the pure elements**: -0.0836 eV per atom
**D(E_F)**: 12.88 states/eV/f.u.
**Symmetry**: P4/mmm
**Volume**: 32.1 A^3/atom



(4)
Tb12Nd3Hg after structural relaxation. Source: Alexandria, functional GGA-PBE.

a b c (Å): 4.9953 4.9953 20.2598
angles (deg): 90.00 90.00 90.00
Closest atoms and distances in Å follow each position.
Atoms (fractional coordinates):
Tb1 0.5000 0.5000 0.0000  8 Tb 3.47, 4 Hg 3.53
Tb2 0.5000 0.5000 0.2423  4 Nd 3.53, 8 Tb 3.53-3.63
Tb3 0.5000 0.5000 0.5000  4 Nd 3.53, 8 Tb 3.59
Tb4 0.5000 0.5000 0.7577  4 Nd 3.53, 8 Tb 3.53-3.63
Tb5 0.5000 0.0000 0.1189  2 Hg 3.47, 8 Tb 3.47-3.53, 2 Nd 3.60
Tb6 0.5000 0.0000 0.3727  8 Tb 3.53-3.63, 4 Nd 3.57-3.59
Tb7 0.5000 0.0000 0.6273  8 Tb 3.53-3.63, 4 Nd 3.57-3.59
Tb8 0.5000 0.0000 0.8811  2 Hg 3.47, 8 Tb 3.47-3.53, 2 Nd 3.60
Tb9 0.0000 0.5000 0.1189  2 Hg 3.47, 8 Tb 3.47-3.53, 2 Nd 3.60
Tb10 0.0000 0.5000 0.3727  8 Tb 3.53-3.63, 4 Nd 3.57-3.59
Tb11 0.0000 0.5000 0.6273  8 Tb 3.53-3.63, 4 Nd 3.57-3.59
Tb12 0.0000 0.5000 0.8811  2 Hg 3.47, 8 Tb 3.47-3.53, 2 Nd 3.60
Nd1 0.0000 0.0000 0.2467  12 Tb 3.53-3.60
Nd2 0.0000 0.0000 0.5000  12 Tb 3.53-3.59
Nd3 0.0000 0.0000 0.7533  12 Tb 3.53-3.60
Hg1 0.0000 0.0000 0.0000  12 Tb 3.47-3.53

Properties
**Energy of formation from the pure elements**: -0.0155 eV per atom
**D(E_F)**: 20.63 states/eV/f.u.
**Symmetry**: P4/mmm
**Volume**: 31.6 A^3/atom



(5)
Tb5Nd2Hg after structural relaxation. Source: Alexandria, functional GGA-PBE.

a b c (Å): 7.0228 6.9925 7.0718
angles (deg): 119.61 119.76 90.02
Closest atoms and distances in Å follow each position.
Atoms (fractional coordinates):
Tb1 0.6964 0.2116 0.9034  1 Hg 3.28, 6 Tb 3.43-3.64, 4 Nd 3.49-3.64
Tb2 0.2077 0.2122 0.9029  1 Hg 3.27, 6 Tb 3.43-3.64, 4 Nd 3.49-3.64
Tb3 0.7481 0.7527 0.9853  1 Hg 3.28, 6 Tb 3.43-3.64, 4 Nd 3.49-3.64
Tb4 0.2365 0.7537 0.9857  1 Hg 3.27, 6 Tb 3.43-3.64, 4 Nd 3.49-3.64
Tb5 0.7220 0.7242 0.4439  3 Nd 3.29-3.54, 8 Tb 3.44-3.64
Nd1 0.2222 0.6644 0.4444  1 Hg 3.22, 6 Tb 3.51-3.54
Nd2 0.7221 0.2538 0.4443  9 Tb 3.29-3.60, 2 Hg 3.53
Hg1 0.2221 0.2044 0.4441  3 Nd 3.22-3.53, 4 Tb 3.27-3.28

Properties
**Energy of formation from the pure elements**: -0.0603 eV per atom
**D(E_F)**: 6.78 states/eV/f.u.
**Symmetry**: C2
**Volume**: 31.0 A^3/atom



(6)
Tb3Nd2Hg7 after structural relaxation. Source: Alexandria, functional GGA-PBE.

a b c (Å): 5.4380 5.2609 12.0354
angles (deg): 102.62 90.00 90.00
Closest atoms and distances in Å follow each position.
Atoms (fractional coordinates):
Tb1 0.5000 0.5000 0.0000  8 Hg 3.21-3.23
Tb2 0.5000 0.6633 0.3267  4 Hg 3.05-3.29
Tb3 0.5000 0.3367 0.6733  4 Hg 3.05-3.29
Nd1 0.0000 0.8555 0.7111  8 Hg 3.12-3.39
Nd2 0.0000 0.1445 0.2889  8 Hg 3.12-3.39
Hg1 0.0000 0.4271 0.8541  2 Nd 3.12, 3 Hg 3.14-3.43, 4 Tb 3.21-3.45
Hg2 0.0000 0.7220 0.4441  2 Hg 2.94, 2 Tb 3.05, 3 Nd 3.14-3.20
Hg3 0.0000 0.0000 0.0000  8 Hg 3.14-3.30, 2 Nd 3.39
Hg4 0.0000 0.5729 0.1459  2 Nd 3.12, 3 Hg 3.14-3.43, 4 Tb 3.21-3.45
Hg5 0.5000 0.0795 0.1589  2 Nd 3.12, 4 Tb 3.23-3.29, 2 Hg 3.30
Hg6 0.5000 0.9205 0.8411  2 Nd 3.12, 4 Tb 3.23-3.29, 2 Hg 3.30
Hg7 0.0000 0.2780 0.5559  2 Hg 2.94, 2 Tb 3.05, 3 Nd 3.14-3.20

Properties
**Energy of formation from the pure elements**: -0.3009 eV per atom
**D(E_F)**: 8.93 states/eV/f.u.
**Symmetry**: Cmmm
**Volume**: 28.0 A^3/atom



(7)
Tb5NdHg6 after structural relaxation. Source: Alexandria, functional GGA-PBE.

a b c (Å): 5.2866 7.5510 8.3787
angles (deg): 90.00 108.23 90.00
Closest atoms and distances in Å follow each position.
Atoms (fractional coordinates):
Nd1 0.0000 0.0000 0.0000  8 Hg 3.28-3.32
Tb1 0.6645 0.5000 0.3298  8 Hg 3.20-3.23
Tb2 0.3329 0.0000 0.6656  8 Hg 3.23-3.29
Tb3 0.0000 0.5000 0.0000  8 Hg 3.22-3.28
Tb4 0.6671 0.0000 0.3344  8 Hg 3.23-3.29
Tb5 0.3355 0.5000 0.6702  8 Hg 3.20-3.23
Hg1 0.8306 0.7451 0.6601  7 Tb 3.21-3.28, 1 Nd 3.32
Hg2 0.8306 0.2549 0.6601  7 Tb 3.21-3.28, 1 Nd 3.32
Hg3 0.5000 0.2569 0.0000  6 Tb 3.20-3.29, 2 Nd 3.28
Hg4 0.5000 0.7431 0.0000  6 Tb 3.20-3.29, 2 Nd 3.28
Hg5 0.1694 0.7451 0.3399  7 Tb 3.21-3.28, 1 Nd 3.32
Hg6 0.1694 0.2549 0.3399  7 Tb 3.21-3.28, 1 Nd 3.32

Properties
**Energy of formation from the pure elements**: -0.4759 eV per atom
**D(E_F)**: 14.08 states/eV/f.u.
**Symmetry**: P2/m
**Volume**: 26.5 A^3/atom



(8)
Tb2Nd3Hg2 after structural relaxation. Source: Alexandria, functional GGA-PBE.

a b c (Å): 4.9255 3.5549 12.0712
angles (deg): 90.00 78.23 90.00
Closest atoms and distances in Å follow each position.
Atoms (fractional coordinates):
Tb1 0.7093 0.5000 0.5813  2 Tb 3.12, 1 Hg 3.27, 4 Nd 3.44
Tb2 0.2907 0.5000 0.4187  2 Tb 3.12, 1 Hg 3.27, 4 Nd 3.44
Nd1 0.8589 0.0000 0.2822  3 Nd 3.34-3.55, 4 Tb 3.44, 4 Hg 3.46
Nd2 0.0000 0.0000 0.0000  4 Nd 3.34-3.55, 8 Hg 3.47
Nd3 0.1411 0.0000 0.7178  3 Nd 3.34-3.55, 4 Tb 3.44, 4 Hg 3.46
Hg1 0.5710 0.5000 0.8581  1 Tb 3.27, 3 Hg 3.35-3.55, 8 Nd 3.46-3.47
Hg2 0.4290 0.5000 0.1419  1 Tb 3.27, 3 Hg 3.35-3.55, 8 Nd 3.46-3.47

Properties
**Energy of formation from the pure elements**: -0.1185 eV per atom
**E above lowest polymorph**: 120 meV per atom
**D(E_F)**: 8.49 states/eV/f.u.
**Symmetry**: Cmmm
**Volume**: 29.6 A^3/atom



(9)
Tb4Nd3Hg4 after structural relaxation. Source: Alexandria, functional GGA-PBE.

a b c (Å): 4.9294 8.0783 9.5239
angles (deg): 115.09 105.00 90.00
Closest atoms and distances in Å follow each position.
Atoms (fractional coordinates):
Tb1 0.3272 0.1172 0.6543  4 Hg 2.97-3.07
Tb2 0.6728 0.4629 0.3457  4 Hg 2.97-3.07
Tb3 0.6728 0.8828 0.3457  4 Hg 2.97-3.07
Tb4 0.3272 0.5371 0.6543  4 Hg 2.97-3.07
Nd1 0.1108 0.1108 0.2215  6 Hg 3.43-3.80, 4 Tb 3.55, 1 Nd 3.66
Nd2 0.8892 0.8892 0.7785  6 Hg 3.43-3.80, 4 Tb 3.55, 1 Nd 3.66
Nd3 0.0000 0.5000 0.0000  6 Hg 3.51-3.54
Hg1 0.2144 0.7144 0.4288  6 Tb 2.99-3.07
Hg2 0.7856 0.2856 0.5712  6 Tb 2.99-3.07
Hg3 0.5000 0.8093 0.0000  2 Tb 2.97, 1 Hg 3.08
Hg4 0.5000 0.1907 0.0000  2 Tb 2.97, 1 Hg 3.08

Properties
**Energy of formation from the pure elements**: -0.2758 eV per atom
**D(E_F)**: 9.30 states/eV/f.u.
**Symmetry**: Immm
**Volume**: 29.9 A^3/atom



(10)
TbNdHg3 after structural relaxation. Source: Alexandria, functional GGA-PBE.

a b c (Å): 6.7442 7.0993 7.0993
angles (deg): 120.00 90.00 90.00
Closest atoms and distances in Å follow each position.
Atoms (fractional coordinates):
Tb1 0.0000 0.0000 0.0000  6 Hg 2.97
Tb2 0.5000 0.0000 0.0000  6 Hg 2.97
Nd1 0.2500 0.3335 0.6665  12 Hg 3.57-3.76
Nd2 0.7500 0.6665 0.3335  12 Hg 3.57-3.76
Hg1 0.2500 0.8011 0.1989  2 Hg 2.86, 2 Tb 2.97
Hg2 0.7500 0.1989 0.8011  2 Hg 2.86, 2 Tb 2.97
Hg3 0.2500 0.8010 0.6023  2 Hg 2.86, 2 Tb 2.97
Hg4 0.7500 0.1990 0.3977  2 Hg 2.86, 2 Tb 2.97
Hg5 0.2500 0.3977 0.1990  2 Hg 2.86, 2 Tb 2.97
Hg6 0.7500 0.6023 0.8010  2 Hg 2.86, 2 Tb 2.97

Properties
**Energy of formation from the pure elements**: -0.2371 eV per atom
**E above lowest polymorph**: 188 meV per atom
**D(E_F)**: 6.27 states/eV/f.u.
**Symmetry**: P6_3/mmc
**Volume**: 29.4 A^3/atom



(11)
Tb3NdHg after structural relaxation. Source: Alexandria, functional GGA-PBE.

a b c (Å): 3.6725 5.5611 15.0199
angles (deg): 90.00 97.02 90.00
Closest atoms and distances in Å follow each position.
Atoms (fractional coordinates):
Tb1 0.0482 0.2500 0.0964  6 Hg 3.23-3.34
Tb2 0.9518 0.7500 0.9036  6 Hg 3.23-3.34
Tb3 0.3420 0.7498 0.6840  8 Tb 3.47-3.75, 4 Nd 3.57-3.73
Tb4 0.6580 0.2502 0.3160  8 Tb 3.47-3.75, 4 Nd 3.57-3.73
Tb5 0.1260 0.7502 0.2521  2 Hg 3.14, 4 Tb 3.47
Tb6 0.8740 0.2498 0.7479  2 Hg 3.14, 4 Tb 3.47
Nd1 0.7332 0.7500 0.4664  6 Nd 3.48-3.67, 6 Tb 3.57-3.73
Nd2 0.2668 0.2500 0.5336  6 Nd 3.48-3.67, 6 Tb 3.57-3.73
Hg1 0.5408 0.7498 0.0816  8 Tb 3.14-3.34
Hg2 0.4592 0.2502 0.9184  8 Tb 3.14-3.34

Properties
**Energy of formation from the pure elements**: -0.1722 eV per atom
**E above lowest polymorph**: 0 meV per atom
**D(E_F)**: 6.80 states/eV/f.u.
**Symmetry**: Cmcm
**Volume**: 30.4 A^3/atom



(12)
TbNd4Hg5 after structural relaxation. Source: Alexandria, functional GGA-PBE.

a b c (Å): 3.8188 3.8188 19.0772
angles (deg): 90.00 90.00 90.00
Closest atoms and distances in Å follow each position.
Atoms (fractional coordinates):
Tb1 0.0000 0.0000 0.0000  8 Hg 3.23
Nd1 0.0000 0.0000 0.1965  8 Hg 3.32-3.35
Nd2 0.0000 0.0000 0.3987  8 Hg 3.31-3.32
Nd3 0.0000 0.0000 0.6013  8 Hg 3.31-3.32
Nd4 0.0000 0.0000 0.8035  8 Hg 3.32-3.35
Hg1 0.5000 0.5000 0.0926  4 Tb 3.23, 4 Nd 3.35, 1 Hg 3.53
Hg2 0.5000 0.5000 0.2981  8 Nd 3.31-3.32
Hg3 0.5000 0.5000 0.5000  8 Nd 3.32
Hg4 0.5000 0.5000 0.7019  8 Nd 3.31-3.32
Hg5 0.5000 0.5000 0.9074  4 Tb 3.23, 4 Nd 3.35, 1 Hg 3.53

Properties
**Energy of formation from the pure elements**: -0.4728 eV per atom
**D(E_F)**: 11.36 states/eV/f.u.
**Symmetry**: P4/mmm
**Volume**: 27.8 A^3/atom